# 1
Computed, not measured: crystalline Ho5SN4 at its relaxed geometry at the PBE-GGA level of DFT.

Unit cell a=12.6873 b=12.6873 c=12.6873 alpha=163.83 beta=163.83 gamma=22.94
Closest atoms and distances in Å follow each position.
Fractional positions:
Ho 0.0000 0.0000 0.0000  4 S 2.52, 2 N 2.58
Ho 0.2019 0.2019 0.0000  6 N 2.39-2.52
Ho 0.3913 0.3913 0.0000  5 N 2.32-2.53
Ho 0.6087 0.6087 0.0000  5 N 2.32-2.53
Ho 0.7981 0.7981 0.0000  6 N 2.39-2.52
S 0.5000 0.5000 0.0000  6 Ho 2.52-2.70
N 0.1039 0.1039 0.0000  6 Ho 2.44-2.58
N 0.2982 0.2982 0.0000  6 Ho 2.32-2.52
N 0.7018 0.7018 0.0000  6 Ho 2.32-2.52
N 0.8961 0.8961 0.0000  6 Ho 2.44-2.58

Values from the calculation:
**Raw formation energy**: -1.694 eV per atom
**Space group**: I4/mmm (139)
**E**: -77.260 eV for the cell shown
**Spin magnetization**: 0.00 μB/atom
**V**: 15.83 Å³/atom

=====

# 2
Computed, not measured: crystalline Ho3SbSN at its relaxed geometry at the PBE-GGA level of DFT.

Unit cell a=8.3664 b=4.0249 c=8.9879 alpha=90.00 beta=101.67 gamma=90.00
Closest atoms and distances in Å follow each position.
Fractional positions:
Ho 0.0755 0.2500 0.3447  3 S 2.69-2.77, 2 Sb 2.99
Ho 0.3388 0.2500 0.9867  3 N 2.21-2.27
Ho 0.3895 0.7500 0.6565  1 N 2.15
Ho 0.6105 0.2500 0.3435  1 N 2.15
Ho 0.6612 0.7500 0.0133  3 N 2.21-2.27
Ho 0.9245 0.7500 0.6553  3 S 2.69-2.77, 2 Sb 2.99
Sb 0.3205 0.7500 0.2859  5 Ho 2.99-3.26
Sb 0.6795 0.2500 0.7141  5 Ho 2.99-3.26
S 0.1517 0.2500 0.6506  5 Ho 2.69-2.82
S 0.8483 0.7500 0.3494  5 Ho 2.69-2.82
N 0.4018 0.7500 0.8978  4 Ho 2.15-2.27
N 0.5982 0.2500 0.1022  4 Ho 2.15-2.27

Values from the calculation:
**Raw formation energy**: -1.455 eV per atom
**Space group**: P2_1/m (11)
**E**: -78.076 eV for the cell shown
**Spin magnetization**: 0.00 μB/atom
**V**: 24.70 Å³/atom

=====

# 3
Computed, not measured: crystalline Ho6SeS3N2 at its relaxed geometry at the PBE-GGA level of DFT.

Unit cell a=8.4690 b=8.4690 c=7.6971 alpha=103.20 beta=103.20 gamma=25.40
Closest atoms and distances in Å follow each position.
Fractional positions:
Ho 0.0225 0.0225 0.2757  1 N 2.39, 2 S 2.62
Ho 0.3216 0.3216 0.4356  3 N 2.43-2.54
Ho 0.3245 0.3245 0.8701  2 N 2.46, 1 S 2.66
Ho 0.6755 0.6755 0.1299  2 N 2.46, 1 S 2.66
Ho 0.6784 0.6784 0.5644  3 N 2.43-2.54
Ho 0.9775 0.9775 0.7243  1 N 2.39, 2 S 2.62
Se 0.5000 0.5000 0.0000  6 Ho 2.78-2.84
S 0.1602 0.1602 0.8341  6 Ho 2.66-2.94
S 0.5000 0.5000 0.5000  6 Ho 2.62-2.87
S 0.8398 0.8398 0.1659  6 Ho 2.66-2.94
N 0.1709 0.1709 0.3362  6 Ho 2.39-2.54
N 0.8291 0.8291 0.6638  6 Ho 2.39-2.54

Values from the calculation:
**Raw formation energy**: -1.818 eV per atom
**Space group**: C2/m (12)
**E**: -81.806 eV for the cell shown
**Spin magnetization**: 0.00 μB/atom
**V**: 19.18 Å³/atom

=====

# 4
Computed, not measured: crystalline Ho8Se3S3N at its relaxed geometry at the PBE-GGA level of DFT.

Unit cell a=7.8985 b=7.8985 c=7.8985 alpha=58.89 beta=58.89 gamma=58.89
Closest atoms and distances in Å follow each position.
Fractional positions:
Ho 0.2417 0.2417 0.2417  3 S 2.68, 3 Se 2.87
Ho 0.2671 0.7222 0.7222  1 N 2.46, 2 S 2.72
Ho 0.2778 0.2778 0.7329  1 N 2.46, 2 S 2.72
Ho 0.2778 0.7329 0.2778  1 N 2.46, 2 S 2.72
Ho 0.7222 0.2671 0.7222  1 N 2.46, 2 S 2.72
Ho 0.7222 0.7222 0.2671  1 N 2.46, 2 S 2.72
Ho 0.7329 0.2778 0.2778  1 N 2.46, 2 S 2.72
Ho 0.7583 0.7583 0.7583  3 S 2.68, 3 Se 2.87
Se 0.0000 0.5000 0.5000  6 Ho 2.85-2.87
Se 0.5000 0.0000 0.5000  6 Ho 2.85-2.87
Se 0.5000 0.5000 0.0000  6 Ho 2.85-2.87
S 0.0000 0.0000 0.5000  6 Ho 2.68-2.72
S 0.0000 0.5000 0.0000  6 Ho 2.68-2.72
S 0.5000 0.0000 0.0000  6 Ho 2.68-2.72
N 0.5000 0.5000 0.5000  6 Ho 2.46

Values from the calculation:
**Raw formation energy**: -1.675 eV per atom
**Space group**: R-3m (166)
**E**: -92.906 eV for the cell shown
**Spin magnetization**: 0.00 μB/atom
**V**: 22.64 Å³/atom